This record from the Alexandria database describes a geometry-optimized NaMnPO2 structure. The functional is PBE+U.

```
NaMnPO2
1.0
3.817 0.000 0.000
0.000 3.817 0.000
0.000 0.000 4.826
Na Mn P O
1 1 1 2
direct
0.000 0.000 0.000
0.500 0.500 0.500
0.500 0.500 0.000
0.000 0.500 0.500
0.500 0.000 0.500
```

Output
Size of the total moment ... 0.5 μB per formula unit
E ... -4.939 eV/atom
Crystal system ... tetragonal